SrSi2Se | PBE | relaxed

The structure in CIF format:
```
data_SrSi2Se
_chemical_formula_sum 'Sr4 Si8 Se4'
_cell_length_a 7.1305
_cell_length_b 7.1305
_cell_length_c 7.1305
_cell_angle_alpha 90.00
_cell_angle_beta 90.00
_cell_angle_gamma 90.00
_space_group_name_H-M_alt 'F -4 3 m'
_space_group_IT_number 216
_space_group_name_Hall 'F -4 2 3'
loop_
_atom_site_label
_atom_site_type_symbol
_atom_site_fract_x
_atom_site_fract_y
_atom_site_fract_z
_atom_site_occupancy
Sr1 Sr 0.0000 0.0000 0.0000 1
Si1 Si 0.0000 0.0000 0.5000 1
Si2 Si 0.2500 0.2500 0.7500 1
Se1 Se 0.2500 0.2500 0.2500 1
```

Results
* energy relative to the elements, uncorrected: 28 meV per atom
* total moment: 0.0 μB per cell